A geometry-optimized Rb3Dy3BiSe8 structure. Source: Alexandria via LeMat-Bulk, functional GGA-PBE.

abc: 8.381 8.389 9.506
angles: 116.25 90.00 119.97
Fractional coordinates of all 15 atoms:
Dy (0.500, 0.000, 0.500)
Dy (0.500, 0.500, 0.500)
Dy (0.000, 0.500, 0.500)
Se (0.727, 0.962, 0.695)
Se (0.732, 0.463, 0.695)
Se (0.273, 0.038, 0.305)
Se (0.234, 0.962, 0.695)
Se (0.268, 0.537, 0.305)
Se (0.766, 0.038, 0.305)
Se (0.234, 0.469, 0.696)
Se (0.766, 0.531, 0.304)
Bi (0.000, 0.000, 0.500)
Rb (0.500, 0.500, 0.000)
Rb (0.000, 0.500, 0.000)
Rb (0.000, 0.000, 0.000)

## Properties
Volume   497.8 Å³ per cell
Energy relative to the elements, uncorrected   -137.4 kJ per mole of atoms
Crystal system   monoclinic
SG   C2/m (12)